Entry 1:
Density functional theory data (SCAN) for a crystal of P2CS2 relaxed with PBEsol.

Lattice parameters (Å, degrees): 4.3164 4.3164 4.4574 90.00 90.00 90.00
Space group P4/mmm (No. 123)
Inequivalent atoms, fractional coordinates:
P 0.0000 0.0000 0.0000 x1
P 0.0000 0.0000 0.5000 x1
C 0.5000 0.5000 0.0000 x1
S 0.0000 0.5000 0.5000 x2

raw formation energy = 2062 meV/atom
E = -7.969 eV per atom
crystal system = tetragonal
calculated volume = 16.61 A^3/atom
magnetic moment = 0.00 Bohr magnetons per cell

***

Entry 2:
Density functional theory data (SCAN) for a crystal of PCS2 relaxed with PBEsol.

Lattice parameters (Å, degrees): 5.6819 5.6819 6.8735 90.00 90.00 90.00
Space group I-42d (No. 122)
Inequivalent atoms, fractional coordinates:
P 0.0000 0.0000 0.0000 x4
C 0.0000 0.0000 0.5000 x4
S 0.1849 0.7500 0.6250 x8

raw formation energy = 1387 meV/atom
E = -8.552 eV per atom
crystal system = tetragonal
calculated volume = 13.87 A^3/atom
magnetic moment = 0.00 Bohr magnetons per cell

***

Entry 3:
Density functional theory data (SCAN) for a crystal of PCS2 relaxed with PBEsol.

Lattice parameters (Å, degrees): 3.0016 3.0016 21.1890 90.00 90.00 120.00
Space group R-3m (No. 166, hexagonal axes)
Inequivalent atoms, fractional coordinates:
P 0.0000 0.0000 0.0000 x3
C 0.0000 0.0000 0.5000 x3
S 0.0000 0.0000 0.1093 x6

raw formation energy = 1484 meV/atom
E = -8.454 eV per atom
crystal system = trigonal
calculated volume = 13.78 A^3/atom
magnetic moment = 0.00 Bohr magnetons per cell

***

Entry 4:
Density functional theory data (SCAN) for a crystal of SbPCS2 relaxed with PBEsol.

Lattice parameters (Å, degrees): 4.1959 4.1959 4.1455 90.00 90.00 90.00
Space group P4/mmm (No. 123)
Inequivalent atoms, fractional coordinates:
Sb 0.0000 0.0000 0.0000 x1
P 0.5000 0.5000 0.0000 x1
C 0.5000 0.5000 0.5000 x1
S 0.0000 0.5000 0.5000 x2

raw formation energy = 1167 meV/atom
E = -14.236 eV per atom
crystal system = tetragonal
calculated volume = 14.60 A^3/atom
magnetic moment = 0.00 Bohr magnetons per cell